Record 1
Here is ZnCu3 at its PBEsol-relaxed geometry from the Alexandria database. Energies are from SCAN.

DFT total energy: -59.322 eV per formula unit
SG: Pnma (62)

Unit cell a=4.433 b=8.352 c=5.080 alpha=90.00 beta=90.00 gamma=90.00
Fractional coordinates of all 16 atoms:
Zn1 0.081 0.250 0.118
Zn2 0.419 0.750 0.618
Zn3 0.581 0.250 0.382
Zn4 0.919 0.750 0.882
Cu1 0.083 0.250 0.624
Cu2 0.248 0.501 0.373
Cu3 0.248 0.999 0.373
Cu4 0.252 0.001 0.873
Cu5 0.252 0.499 0.873
Cu6 0.417 0.750 0.124
Cu7 0.583 0.250 0.876
Cu8 0.748 0.501 0.127
Cu9 0.748 0.999 0.127
Cu10 0.752 0.001 0.627
Cu11 0.752 0.499 0.627
Cu12 0.917 0.750 0.376

Record 2
Here is Zn4Cu at its PBEsol-relaxed geometry from the Alexandria database. Energies are from SCAN.

SG: P-3m1 (164)
energy above the lowest structure with this stoichiometry: 88.1 meV per atom

Unit cell a=2.597 b=2.597 c=12.120 alpha=90.00 beta=90.00 gamma=120.00
Fractional coordinates of all 5 atoms:
Zn1 0.333 0.667 0.174
Zn2 0.333 0.667 0.401
Zn3 0.667 0.333 0.599
Zn4 0.667 0.333 0.826
Cu1 0.000 0.000 0.000

Record 3
Here is ZnCu2 at its PBEsol-relaxed geometry from the Alexandria database. Energies are from SCAN.

DFT total energy: -44.144 eV per formula unit
SG: Cmmm (65)

Unit cell a=5.751 b=5.751 c=3.606 alpha=90.00 beta=90.00 gamma=143.10
Fractional coordinates of all 6 atoms:
Zn1 0.164 0.836 0.000
Zn2 0.836 0.164 0.000
Cu1 0.000 0.000 0.500
Cu2 0.335 0.665 0.500
Cu3 0.500 0.500 0.000
Cu4 0.665 0.335 0.500

Record 4
Here is Zn4Cu at its PBEsol-relaxed geometry from the Alexandria database. Energies are from SCAN.

SG: I4/m (87)
energy above the lowest structure with this stoichiometry: 0.0 meV per atom

Unit cell a=4.601 b=4.601 c=4.601 alpha=99.41 beta=99.41 gamma=132.30
Fractional coordinates of all 5 atoms:
Zn1 0.101 0.297 0.398
Zn2 0.297 0.899 0.196
Zn3 0.703 0.101 0.804
Zn4 0.899 0.703 0.602
Cu1 0.500 0.500 0.000

Record 5
Here is Zn2Cu at its PBEsol-relaxed geometry from the Alexandria database. Energies are from SCAN.

DFT total energy: -42.398 eV per formula unit
SG: P-62m (189)

Unit cell a=7.096 b=7.096 c=2.662 alpha=90.00 beta=90.00 gamma=120.00
Fractional coordinates of all 9 atoms:
Zn1 0.000 0.368 0.000
Zn2 0.000 0.701 0.500
Zn3 0.299 0.299 0.500
Zn4 0.368 0.000 0.000
Zn5 0.632 0.632 0.000
Zn6 0.701 0.000 0.500
Cu1 0.000 0.000 0.000
Cu2 0.333 0.667 0.500
Cu3 0.667 0.333 0.500

Record 6
Here is ZnCu2 at its PBEsol-relaxed geometry from the Alexandria database. Energies are from SCAN.

DFT total energy: -44.143 eV per formula unit
SG: I4_1/amd (141)

Unit cell a=11.130 b=11.130 c=11.130 alpha=161.19 beta=161.19 gamma=26.72
Fractional coordinates of all 12 atoms:
Zn1 0.293 0.543 0.750
Zn2 0.457 0.707 0.750
Zn3 0.543 0.293 0.250
Zn4 0.707 0.457 0.250
Cu1 0.042 0.792 0.250
Cu2 0.124 0.374 0.750
Cu3 0.208 0.958 0.250
Cu4 0.374 0.124 0.250
Cu5 0.626 0.876 0.750
Cu6 0.792 0.042 0.750
Cu7 0.876 0.626 0.250
Cu8 0.958 0.208 0.750

Record 7
Here is ZnCu3 at its PBEsol-relaxed geometry from the Alexandria database. Energies are from SCAN.

DFT total energy: -59.191 eV per formula unit
SG: R-3m (166)

Unit cell a=8.365 b=8.365 c=8.365 alpha=17.70 beta=17.70 gamma=17.70
Fractional coordinates of all 4 atoms:
Zn1 0.000 0.000 0.000
Cu1 0.248 0.248 0.248
Cu2 0.500 0.500 0.500
Cu3 0.752 0.752 0.752

Record 8
Here is Zn8Cu5 at its PBEsol-relaxed geometry from the Alexandria database. Energies are from SCAN.

DFT total energy: -185.725 eV per formula unit
SG: I-43m (217)

Unit cell a=7.538 b=7.538 c=7.538 alpha=109.47 beta=109.47 gamma=109.47
Fractional coordinates of all 26 atoms:
Zn1 0.000 0.000 0.781
Zn2 0.000 0.279 0.652
Zn3 0.000 0.652 0.279
Zn4 0.000 0.781 0.000
Zn5 0.219 0.219 0.219
Zn6 0.279 0.000 0.652
Zn7 0.279 0.652 0.000
Zn8 0.348 0.348 0.627
Zn9 0.348 0.627 0.348
Zn10 0.373 0.721 0.721
Zn11 0.627 0.348 0.348
Zn12 0.652 0.000 0.279
Zn13 0.652 0.279 0.000
Zn14 0.721 0.373 0.721
Zn15 0.721 0.721 0.373
Zn16 0.781 0.000 0.000
Cu1 0.000 0.000 0.344
Cu2 0.000 0.344 0.000
Cu3 0.000 0.356 0.356
Cu4 0.000 0.644 0.644
Cu5 0.344 0.000 0.000
Cu6 0.356 0.000 0.356
Cu7 0.356 0.356 0.000
Cu8 0.644 0.000 0.644
Cu9 0.644 0.644 0.000
Cu10 0.656 0.656 0.656

Record 9
Here is Zn5Cu24 at its PBEsol-relaxed geometry from the Alexandria database. Energies are from SCAN.

DFT total energy: -431.359 eV per formula unit
SG: I-43m (217)

Unit cell a=7.639 b=7.639 c=7.639 alpha=109.47 beta=109.47 gamma=109.47
Fractional coordinates of all 29 atoms:
Zn1 0.000 0.000 0.000
Zn2 0.000 0.000 0.643
Zn3 0.000 0.643 0.000
Zn4 0.357 0.357 0.357
Zn5 0.643 0.000 0.000
Cu1 0.000 0.191 0.379
Cu2 0.000 0.379 0.191
Cu3 0.000 0.410 0.685
Cu4 0.000 0.685 0.410
Cu5 0.188 0.809 0.809
Cu6 0.191 0.000 0.379
Cu7 0.191 0.379 0.000
Cu8 0.275 0.590 0.590
Cu9 0.315 0.315 0.725
Cu10 0.315 0.725 0.315
Cu11 0.379 0.000 0.191
Cu12 0.379 0.191 0.000
Cu13 0.410 0.000 0.685
Cu14 0.410 0.685 0.000
Cu15 0.590 0.275 0.590
Cu16 0.590 0.590 0.275
Cu17 0.621 0.621 0.812
Cu18 0.621 0.812 0.621
Cu19 0.685 0.000 0.410
Cu20 0.685 0.410 0.000
Cu21 0.725 0.315 0.315
Cu22 0.809 0.188 0.809
Cu23 0.809 0.809 0.188
Cu24 0.812 0.621 0.621

Record 10
Here is Zn2Cu at its PBEsol-relaxed geometry from the Alexandria database. Energies are from SCAN.

DFT total energy: -42.427 eV per formula unit
SG: Immm (71)

Unit cell a=4.791 b=4.791 c=4.791 alpha=144.58 beta=142.77 gamma=52.33
Fractional coordinates of all 3 atoms:
Zn1 0.161 0.161 0.000
Zn2 0.839 0.839 0.000
Cu1 0.500 0.500 0.000

Record 11
Here is Zn2Cu at its PBEsol-relaxed geometry from the Alexandria database. Energies are from SCAN.

DFT total energy: -42.446 eV per formula unit
SG: Cm (8)

Unit cell a=5.000 b=5.000 c=6.184 alpha=103.14 beta=103.14 gamma=30.74
Fractional coordinates of all 6 atoms:
Zn1 0.000 0.000 0.000
Zn2 0.056 0.056 0.603
Zn3 0.383 0.383 0.284
Zn4 0.724 0.724 0.939
Cu1 0.332 0.332 0.664
Cu2 0.664 0.664 0.329

Record 12
Here is Zn2Cu at its PBEsol-relaxed geometry from the Alexandria database. Energies are from SCAN.

DFT total energy: -42.351 eV per formula unit
SG: Fd-3m (227)

Unit cell a=7.664 b=7.664 c=7.664 alpha=60.00 beta=60.00 gamma=60.00
Fractional coordinates of all 24 atoms:
Zn1 0.000 0.000 0.000
Zn2 0.000 0.000 0.500
Zn3 0.000 0.500 0.000
Zn4 0.187 0.187 0.563
Zn5 0.187 0.563 0.187
Zn6 0.187 0.563 0.563
Zn7 0.437 0.437 0.813
Zn8 0.437 0.813 0.437
Zn9 0.437 0.813 0.813
Zn10 0.500 0.000 0.000
Zn11 0.563 0.187 0.187
Zn12 0.563 0.187 0.563
Zn13 0.563 0.563 0.187
Zn14 0.813 0.437 0.437
Zn15 0.813 0.437 0.813
Zn16 0.813 0.813 0.437
Cu1 0.144 0.785 0.785
Cu2 0.215 0.215 0.215
Cu3 0.215 0.215 0.856
Cu4 0.215 0.856 0.215
Cu5 0.785 0.144 0.785
Cu6 0.785 0.785 0.144
Cu7 0.785 0.785 0.785
Cu8 0.856 0.215 0.215

Record 13
Here is Zn2Cu at its PBEsol-relaxed geometry from the Alexandria database. Energies are from SCAN.

DFT total energy: -42.420 eV per formula unit
SG: I4/mmm (139)

Unit cell a=5.063 b=5.063 c=5.063 alpha=147.00 beta=147.00 gamma=47.37
Fractional coordinates of all 3 atoms:
Zn1 0.160 0.160 0.000
Zn2 0.840 0.840 0.000
Cu1 0.500 0.500 0.000

Record 14
Here is ZnCu3 at its PBEsol-relaxed geometry from the Alexandria database. Energies are from SCAN.

DFT total energy: -59.337 eV per formula unit
SG: Imm2 (44)

Unit cell a=4.864 b=4.864 c=4.864 alpha=149.10 beta=62.98 gamma=126.61
Fractional coordinates of all 4 atoms:
Zn1 0.000 0.000 0.000
Cu1 0.409 0.659 0.751
Cu2 0.498 0.998 0.500
Cu3 0.908 0.659 0.249

Record 15
Here is Zn2Cu at its PBEsol-relaxed geometry from the Alexandria database. Energies are from SCAN.

DFT total energy: -42.373 eV per formula unit
SG: Cm (8)

Unit cell a=2.647 b=2.647 c=6.523 alpha=101.47 beta=101.47 gamma=59.87
Fractional coordinates of all 3 atoms:
Zn1 0.000 0.000 0.000
Zn2 0.215 0.215 0.646
Cu1 0.440 0.440 0.322

Record 16
Here is ZnCu2 at its PBEsol-relaxed geometry from the Alexandria database. Energies are from SCAN.

DFT total energy: -44.024 eV per formula unit
SG: R3m (160)

Unit cell a=6.333 b=6.333 c=6.333 alpha=23.66 beta=23.66 gamma=23.66
Fractional coordinates of all 3 atoms:
Zn1 0.000 0.000 0.000
Cu1 0.221 0.221 0.221
Cu2 0.446 0.446 0.446

Record 17
Here is ZnCu2 at its PBEsol-relaxed geometry from the Alexandria database. Energies are from SCAN.

DFT total energy: -44.133 eV per formula unit
SG: Immm (71)

Unit cell a=4.447 b=4.447 c=4.447 alpha=145.94 beta=132.88 gamma=59.41
Fractional coordinates of all 3 atoms:
Zn1 0.000 0.000 0.000
Cu1 0.332 0.332 0.000
Cu2 0.668 0.668 0.000

Record 18
Here is ZnCu5 at its PBEsol-relaxed geometry from the Alexandria database. Energies are from SCAN.

DFT total energy: -89.672 eV per formula unit
SG: P4/mmm (123)

Unit cell a=2.557 b=2.557 c=10.650 alpha=90.00 beta=90.00 gamma=90.00
Fractional coordinates of all 6 atoms:
Zn1 0.000 0.000 0.000
Cu1 0.000 0.000 0.336
Cu2 0.000 0.000 0.664
Cu3 0.500 0.500 0.172
Cu4 0.500 0.500 0.500
Cu5 0.500 0.500 0.828

Record 19
Here is ZnCu2 at its PBEsol-relaxed geometry from the Alexandria database. Energies are from SCAN.

DFT total energy: -44.061 eV per formula unit
SG: P-3m1 (164)

Unit cell a=4.049 b=4.049 c=2.528 alpha=90.00 beta=90.00 gamma=120.00
Fractional coordinates of all 3 atoms:
Zn1 0.000 0.000 0.000
Cu1 0.333 0.667 0.328
Cu2 0.667 0.333 0.672

Record 20
Here is ZnCu2 at its PBEsol-relaxed geometry from the Alexandria database. Energies are from SCAN.

DFT total energy: -43.953 eV per formula unit
SG: P-31m (162)

Unit cell a=7.049 b=7.049 c=2.532 alpha=90.00 beta=90.00 gamma=120.00
Fractional coordinates of all 9 atoms:
Zn1 0.000 0.000 0.000
Zn2 0.333 0.667 0.500
Zn3 0.667 0.333 0.500
Cu1 0.000 0.335 0.780
Cu2 0.000 0.665 0.220
Cu3 0.335 0.000 0.780
Cu4 0.335 0.335 0.220
Cu5 0.665 0.000 0.220
Cu6 0.665 0.665 0.780

Record 21
Here is ZnCu3 at its PBEsol-relaxed geometry from the Alexandria database. Energies are from SCAN.

DFT total energy: -59.336 eV per formula unit
SG: Pmm2 (25)

Unit cell a=2.602 b=4.143 c=4.358 alpha=90.00 beta=90.00 gamma=90.00
Fractional coordinates of all 4 atoms:
Zn1 0.000 0.000 0.000
Cu1 0.000 0.500 0.656
Cu2 0.500 0.000 0.500
Cu3 0.500 0.500 0.161

Record 22
Here is ZrZn2Cu at its PBEsol-relaxed geometry from the Alexandria database. Energies are from SCAN.

DFT total energy: -74.045 eV per formula unit
SG: F-43m (216)

Unit cell a=4.388 b=4.388 c=4.388 alpha=60.00 beta=60.00 gamma=60.00
Fractional coordinates of all 4 atoms:
Zr1 0.000 0.000 0.000
Zn1 0.500 0.500 0.500
Zn2 0.750 0.750 0.750
Cu1 0.250 0.250 0.250

Record 23
Here is ZrZnCu2 at its PBEsol-relaxed geometry from the Alexandria database. Energies are from SCAN.

DFT total energy: -75.427 eV per formula unit
SG: F-43m (216)

Unit cell a=4.330 b=4.330 c=4.330 alpha=60.00 beta=60.00 gamma=60.00
Fractional coordinates of all 4 atoms:
Zr1 0.000 0.000 0.000
Zn1 0.250 0.250 0.250
Cu1 0.500 0.500 0.500
Cu2 0.750 0.750 0.750

Record 24
Here is ZrZn2Cu at its PBEsol-relaxed geometry from the Alexandria database. Energies are from SCAN.

DFT total energy: -73.774 eV per formula unit
SG: P4/mmm (123)

Unit cell a=2.990 b=2.990 c=6.716 alpha=90.00 beta=90.00 gamma=90.00
Fractional coordinates of all 4 atoms:
Zr1 0.000 0.000 0.000
Zn1 0.500 0.500 0.292
Zn2 0.500 0.500 0.708
Cu1 0.000 0.000 0.500

Record 25
Here is ZrZnCu2 at its PBEsol-relaxed geometry from the Alexandria database. Energies are from SCAN.

DFT total energy: -74.931 eV per formula unit
SG: Pm (6)

Unit cell a=2.700 b=4.063 c=5.501 alpha=90.00 beta=104.30 gamma=90.00
Fractional coordinates of all 4 atoms:
Zr1 0.000 0.000 0.000
Zn1 0.332 0.500 0.665
Cu1 0.618 0.500 0.236
Cu2 0.743 0.000 0.489